Record 1
# PBE Ti3Al2Ga, optimized geometry
data_Ti3Al2Ga
_symmetry_space_group_name_H-M 'P 4/m m m'
_symmetry_Int_Tables_number 123
_symmetry_space_group_name_Hall '-P 4 2'
_cell_length_a 3.3885
_cell_length_b 3.3885
_cell_length_c 8.4398
_cell_angle_alpha 90.00
_cell_angle_beta 90.00
_cell_angle_gamma 90.00
loop_
_atom_site_label
_atom_site_type_symbol
_atom_site_fract_x
_atom_site_fract_y
_atom_site_fract_z
_atom_site_occupancy
Ti1 Ti 0.0000 0.0000 0.0000 1
Ti2 Ti 0.0000 0.0000 0.3412 1
Al1 Al 0.5000 0.5000 0.1670 1
Ga1 Ga 0.5000 0.5000 0.5000 1
# Relative energy among the computed polymorphs (kJ/mol of atoms): 11.78
# E_form (meV per atom): -306

Record 2
# PBE PrBi2Pd8, optimized geometry
data_PrBi2Pd8
_symmetry_space_group_name_H-M 'C 1 2/m 1'
_symmetry_Int_Tables_number 12
_symmetry_space_group_name_Hall '-C 2y'
_cell_length_a 7.6344
_cell_length_b 14.5747
_cell_length_c 5.0945
_cell_angle_alpha 90.00
_cell_angle_beta 131.38
_cell_angle_gamma 90.00
loop_
_atom_site_label
_atom_site_type_symbol
_atom_site_fract_x
_atom_site_fract_y
_atom_site_fract_z
_atom_site_occupancy
Pr1 Pr 0.0000 0.0000 0.0000 1
Bi1 Bi 0.0000 0.3160 0.5000 1
Pd1 Pd 0.0000 0.1964 0.0000 1
Pd2 Pd 0.0058 0.5000 0.2550 1
Pd3 Pd 0.2370 0.1337 0.7430 1
# E_form (meV per atom): -329

Record 3
# PBE Cu15Ni2Pt2, optimized geometry
data_Cu15Ni2Pt2
_symmetry_space_group_name_H-M 'R -3 m'
_symmetry_Int_Tables_number 166
_symmetry_space_group_name_Hall '-R 3 2"'
_cell_length_a 8.1740
_cell_length_b 8.1740
_cell_length_c 12.5387
_cell_angle_alpha 90.00
_cell_angle_beta 90.00
_cell_angle_gamma 120.00
loop_
_atom_site_label
_atom_site_type_symbol
_atom_site_fract_x
_atom_site_fract_y
_atom_site_fract_z
_atom_site_occupancy
Cu1 Cu 0.0000 0.3042 0.0000 1
Cu2 Cu 0.0000 0.5000 0.5000 1
Cu3 Cu 0.0053 0.5026 0.1497 1
Ni1 Ni 0.0000 0.0000 0.0957 1
Pt1 Pt 0.0000 0.0000 0.3088 1
# E_form (meV per atom): 114

Record 4
# PBE ZnHgRu2, optimized geometry
data_ZnHgRu2
_symmetry_space_group_name_H-M 'C 1 2/m 1'
_symmetry_Int_Tables_number 12
_symmetry_space_group_name_Hall '-C 2y'
_cell_length_a 9.0496
_cell_length_b 2.8521
_cell_length_c 4.9938
_cell_angle_alpha 90.00
_cell_angle_beta 100.99
_cell_angle_gamma 90.00
loop_
_atom_site_label
_atom_site_type_symbol
_atom_site_fract_x
_atom_site_fract_y
_atom_site_fract_z
_atom_site_occupancy
Zn1 Zn 0.0000 0.0000 0.0000 1
Hg1 Hg 0.0000 0.5000 0.5000 1
Ru1 Ru 0.2433 0.5000 0.2177 1
# Relative energy among the computed polymorphs (kJ/mol of atoms): 21.25
# E_form (meV per atom): 362

Record 5
# PBE HoPd7Pt2, optimized geometry
data_HoPd7Pt2
_symmetry_space_group_name_H-M 'C m m m'
_symmetry_Int_Tables_number 65
_symmetry_space_group_name_Hall '-C 2 2'
_cell_length_a 7.2445
_cell_length_b 12.8558
_cell_length_c 4.5112
_cell_angle_alpha 90.00
_cell_angle_beta 90.00
_cell_angle_gamma 90.00
loop_
_atom_site_label
_atom_site_type_symbol
_atom_site_fract_x
_atom_site_fract_y
_atom_site_fract_z
_atom_site_occupancy
Ho1 Ho 0.0000 0.0000 0.0000 1
Pd1 Pd 0.0000 0.2098 0.0000 1
Pd2 Pd 0.0000 0.5000 0.5000 1
Pd3 Pd 0.1821 0.1112 0.5000 1
Pt1 Pt 0.0000 0.3006 0.5000 1
# E_form (meV per atom): 113

Record 6
# PBE KLiSi, optimized geometry
data_KLiSi
_symmetry_space_group_name_H-M 'P 1'
_symmetry_Int_Tables_number 1
_symmetry_space_group_name_Hall 'P 1'
_cell_length_a 4.4597
_cell_length_b 4.4608
_cell_length_c 11.5031
_cell_angle_alpha 78.96
_cell_angle_beta 89.61
_cell_angle_gamma 60.02
loop_
_atom_site_label
_atom_site_type_symbol
_atom_site_fract_x
_atom_site_fract_y
_atom_site_fract_z
_atom_site_occupancy
K1 K 0.0000 0.0000 0.0000 1
K2 K 0.1851 0.6093 0.6049 1
Li1 Li 0.0930 0.8041 0.3022 1
Li2 Li 0.7597 0.4708 0.3024 1
Si1 Si 0.3955 0.2026 0.2025 1
Si2 Si 0.4566 0.0731 0.4022 1
# Relative energy among the computed polymorphs (kJ/mol of atoms): 0.73
# Raw formation energy (meV/atom): -86

Record 7
# PBE BiIF2, optimized geometry
data_BiIF2
_symmetry_space_group_name_H-M 'P 1 21/m 1'
_symmetry_Int_Tables_number 11
_symmetry_space_group_name_Hall '-P 2yb'
_cell_length_a 7.3785
_cell_length_b 3.9163
_cell_length_c 7.5690
_cell_angle_alpha 90.00
_cell_angle_beta 115.57
_cell_angle_gamma 90.00
loop_
_atom_site_label
_atom_site_type_symbol
_atom_site_fract_x
_atom_site_fract_y
_atom_site_fract_z
_atom_site_occupancy
Bi1 Bi 0.2355 0.2500 0.2074 1
I1 I 0.2935 0.7500 0.5803 1
F1 F 0.0294 0.2500 0.8813 1
F2 F 0.3296 0.7500 0.1098 1
# Relative energy among the computed polymorphs (kJ/mol of atoms): 2.90
# Raw formation energy (meV/atom): -1671

Record 8
# PBE SiRh2Cl, optimized geometry
data_SiRh2Cl
_symmetry_space_group_name_H-M 'I -4 m 2'
_symmetry_Int_Tables_number 119
_symmetry_space_group_name_Hall 'I -4 -2'
_cell_length_a 3.4817
_cell_length_b 3.4817
_cell_length_c 10.0300
_cell_angle_alpha 90.00
_cell_angle_beta 90.00
_cell_angle_gamma 90.00
loop_
_atom_site_label
_atom_site_type_symbol
_atom_site_fract_x
_atom_site_fract_y
_atom_site_fract_z
_atom_site_occupancy
Si1 Si 0.0000 0.0000 0.0000 1
Rh1 Rh 0.0000 0.0000 0.5000 1
Rh2 Rh 0.0000 0.5000 0.2500 1
Cl1 Cl 0.0000 0.5000 0.7500 1
# Relative energy among the computed polymorphs (kJ/mol of atoms): 61.78
# Raw formation energy (meV/atom): 197

Record 9
# PBE Bi2Pb3Au4, optimized geometry
data_Bi2Pb3Au4
_symmetry_space_group_name_H-M 'C 1 2/m 1'
_symmetry_Int_Tables_number 12
_symmetry_space_group_name_Hall '-C 2y'
_cell_length_a 12.8621
_cell_length_b 4.3460
_cell_length_c 9.4798
_cell_angle_alpha 90.00
_cell_angle_beta 115.04
_cell_angle_gamma 90.00
loop_
_atom_site_label
_atom_site_type_symbol
_atom_site_fract_x
_atom_site_fract_y
_atom_site_fract_z
_atom_site_occupancy
Bi1 Bi 0.1821 0.0000 0.3369 1
Pb1 Pb 0.0000 0.5000 0.0000 1
Pb2 Pb 0.1124 0.0000 0.7004 1
Au1 Au 0.0642 0.5000 0.4081 1
Au2 Au 0.1884 0.0000 0.0353 1
# E_form (meV per atom): -47

Record 10
# PBE Rb2Sn7Au12, optimized geometry
data_Rb2Sn7Au12
_symmetry_space_group_name_H-M 'P -3'
_symmetry_Int_Tables_number 147
_symmetry_space_group_name_Hall '-P 3'
_cell_length_a 10.6461
_cell_length_b 10.6461
_cell_length_c 5.1559
_cell_angle_alpha 90.00
_cell_angle_beta 90.00
_cell_angle_gamma 120.00
loop_
_atom_site_label
_atom_site_type_symbol
_atom_site_fract_x
_atom_site_fract_y
_atom_site_fract_z
_atom_site_occupancy
Rb1 Rb 0.3333 0.6667 0.2212 1
Sn1 Sn 0.0000 0.0000 0.5000 1
Sn2 Sn 0.0987 0.3825 0.6665 1
Au1 Au 0.0551 0.6126 0.7982 1
Au2 Au 0.1229 0.2533 0.1651 1
# E_form (meV per atom): -210

Record 11
# PBE Ac4Zn5Au3, optimized geometry
data_Ac4Zn5Au3
_symmetry_space_group_name_H-M 'C 1 2/m 1'
_symmetry_Int_Tables_number 12
_symmetry_space_group_name_Hall '-C 2y'
_cell_length_a 15.2881
_cell_length_b 4.7564
_cell_length_c 10.3527
_cell_angle_alpha 90.00
_cell_angle_beta 116.96
_cell_angle_gamma 90.00
loop_
_atom_site_label
_atom_site_type_symbol
_atom_site_fract_x
_atom_site_fract_y
_atom_site_fract_z
_atom_site_occupancy
Ac1 Ac 0.0436 0.0000 0.3271 1
Ac2 Ac 0.2477 0.5000 0.1983 1
Zn1 Zn 0.0000 0.5000 0.0000 1
Zn2 Zn 0.0883 0.5000 0.5903 1
Zn3 Zn 0.2190 0.5000 0.5104 1
Au1 Au 0.0000 0.0000 0.0000 1
Au2 Au 0.1171 0.5000 0.8608 1
# E_form (meV per atom): -386

Record 12
# PBE Na4PdPt, optimized geometry
data_Na4PdPt
_symmetry_space_group_name_H-M 'I 4/m c m'
_symmetry_Int_Tables_number 140
_symmetry_space_group_name_Hall '-I 4 2c'
_cell_length_a 7.1043
_cell_length_b 7.1043
_cell_length_c 11.3412
_cell_angle_alpha 90.00
_cell_angle_beta 90.00
_cell_angle_gamma 90.00
loop_
_atom_site_label
_atom_site_type_symbol
_atom_site_fract_x
_atom_site_fract_y
_atom_site_fract_z
_atom_site_occupancy
Na1 Na 0.1819 0.3181 0.1303 1
Pd1 Pd 0.0000 0.0000 0.0000 1
Pt1 Pt 0.0000 0.0000 0.2500 1
# E_form (meV per atom): -98

Record 13
# PBE Sm3Dy2Co2, optimized geometry
data_Sm3Dy2Co2
_symmetry_space_group_name_H-M 'C 1 2/m 1'
_symmetry_Int_Tables_number 12
_symmetry_space_group_name_Hall '-C 2y'
_cell_length_a 12.0554
_cell_length_b 3.7385
_cell_length_c 8.8988
_cell_angle_alpha 90.00
_cell_angle_beta 115.64
_cell_angle_gamma 90.00
loop_
_atom_site_label
_atom_site_type_symbol
_atom_site_fract_x
_atom_site_fract_y
_atom_site_fract_z
_atom_site_occupancy
Sm1 Sm 0.0000 0.0000 0.0000 1
Sm2 Sm 0.1160 0.0000 0.4252 1
Dy1 Dy 0.1746 0.5000 0.8077 1
Co1 Co 0.1826 0.5000 0.2430 1
# E_form (meV per atom): -114

Record 14
# PBE Na9Hg2Pd, optimized geometry
data_Na9Hg2Pd
_symmetry_space_group_name_H-M 'P -1'
_symmetry_Int_Tables_number 2
_symmetry_space_group_name_Hall '-P 1'
_cell_length_a 6.2263
_cell_length_b 6.2456
_cell_length_c 9.5714
_cell_angle_alpha 76.94
_cell_angle_beta 89.71
_cell_angle_gamma 82.45
loop_
_atom_site_label
_atom_site_type_symbol
_atom_site_fract_x
_atom_site_fract_y
_atom_site_fract_z
_atom_site_occupancy
Na1 Na 0.0000 0.0000 0.0000 1
Na2 Na 0.0746 0.7169 0.3686 1
Na3 Na 0.2163 0.7250 0.6966 1
Na4 Na 0.2684 0.4207 0.0949 1
Na5 Na 0.4653 0.1612 0.7757 1
Hg1 Hg 0.2967 0.1749 0.4225 1
Pd1 Pd 0.5000 0.5000 0.5000 1
# E_form (meV per atom): -98

Record 15
# PBE AgTe2Br, optimized geometry
data_AgTe2Br
_symmetry_space_group_name_H-M 'F m -3 m'
_symmetry_Int_Tables_number 225
_symmetry_space_group_name_Hall '-F 4 2 3'
_cell_length_a 7.3909
_cell_length_b 7.3909
_cell_length_c 7.3909
_cell_angle_alpha 90.00
_cell_angle_beta 90.00
_cell_angle_gamma 90.00
loop_
_atom_site_label
_atom_site_type_symbol
_atom_site_fract_x
_atom_site_fract_y
_atom_site_fract_z
_atom_site_occupancy
Ag1 Ag 0.0000 0.0000 0.0000 1
Te1 Te 0.2500 0.2500 0.2500 1
Br1 Br 0.0000 0.0000 0.5000 1
# Raw formation energy (meV/atom): 356

Record 16
# PBE NdGaNiH, optimized geometry
data_NdGaNiH
_symmetry_space_group_name_H-M 'P 3 m 1'
_symmetry_Int_Tables_number 156
_symmetry_space_group_name_Hall 'P 3 -2"'
_cell_length_a 4.1716
_cell_length_b 4.1716
_cell_length_c 4.2704
_cell_angle_alpha 90.00
_cell_angle_beta 90.00
_cell_angle_gamma 120.00
loop_
_atom_site_label
_atom_site_type_symbol
_atom_site_fract_x
_atom_site_fract_y
_atom_site_fract_z
_atom_site_occupancy
Nd1 Nd 0.0000 0.0000 0.0000 1
Ga1 Ga 0.3333 0.6667 0.4889 1
Ni1 Ni 0.6667 0.3333 0.5529 1
H1 H 0.6667 0.3333 0.9289 1
# Calculated total energy (eV/atom): -4.7415

Record 17
# PBE Sm2NpGeN5, optimized geometry
data_Sm2NpGeN5
_symmetry_space_group_name_H-M 'C m c 21'
_symmetry_Int_Tables_number 36
_symmetry_space_group_name_Hall 'C 2c -2'
_cell_length_a 3.4043
_cell_length_b 14.1849
_cell_length_c 10.3629
_cell_angle_alpha 90.00
_cell_angle_beta 90.00
_cell_angle_gamma 90.00
loop_
_atom_site_label
_atom_site_type_symbol
_atom_site_fract_x
_atom_site_fract_y
_atom_site_fract_z
_atom_site_occupancy
Sm1 Sm 0.0000 0.1073 0.0000 1
Sm2 Sm 0.0000 0.1312 0.6343 1
Np1 Np 0.0000 0.2069 0.3398 1
Ge1 Ge 0.0000 0.4572 0.7603 1
N1 N 0.0000 0.0434 0.3548 1
N2 N 0.0000 0.2863 0.9779 1
N3 N 0.0000 0.3209 0.6986 1
N4 N 0.0000 0.3539 0.3235 1
N5 N 0.0000 0.4916 0.0986 1
# Raw formation energy (meV/atom): -930

Record 18
# PBE BaSrAc, optimized geometry
data_BaSrAc
_symmetry_space_group_name_H-M 'P -1'
_symmetry_Int_Tables_number 2
_symmetry_space_group_name_Hall '-P 1'
_cell_length_a 4.1923
_cell_length_b 4.1932
_cell_length_c 30.4478
_cell_angle_alpha 86.51
_cell_angle_beta 89.04
_cell_angle_gamma 60.07
loop_
_atom_site_label
_atom_site_type_symbol
_atom_site_fract_x
_atom_site_fract_y
_atom_site_fract_z
_atom_site_occupancy
Ba1 Ba 0.1317 0.3088 0.2241 1
Sr1 Sr 0.1611 0.1974 0.4420 1
Ac1 Ac 0.4795 0.5883 0.3324 1
# Relative energy among the computed polymorphs (kJ/mol of atoms): 10.61
# E_form (meV per atom): 174

Record 19
# PBE YNi6C, optimized geometry
data_YNi6C
_symmetry_space_group_name_H-M 'R -3 m'
_symmetry_Int_Tables_number 166
_symmetry_space_group_name_Hall '-R 3 2"'
_cell_length_a 5.1756
_cell_length_b 5.1756
_cell_length_c 13.1536
_cell_angle_alpha 90.00
_cell_angle_beta 90.00
_cell_angle_gamma 120.00
loop_
_atom_site_label
_atom_site_type_symbol
_atom_site_fract_x
_atom_site_fract_y
_atom_site_fract_z
_atom_site_occupancy
Y1 Y 0.0000 0.0000 0.0000 1
Ni1 Ni 0.0183 0.5092 0.9097 1
C1 C 0.0000 0.0000 0.5000 1
# E_form (meV per atom): -90

Record 20
# PBE SiSbPbI2, optimized geometry
data_SiSbPbI2
_symmetry_space_group_name_H-M 'P 4/m m m'
_symmetry_Int_Tables_number 123
_symmetry_space_group_name_Hall '-P 4 2'
_cell_length_a 5.4726
_cell_length_b 5.4726
_cell_length_c 5.5869
_cell_angle_alpha 90.00
_cell_angle_beta 90.00
_cell_angle_gamma 90.00
loop_
_atom_site_label
_atom_site_type_symbol
_atom_site_fract_x
_atom_site_fract_y
_atom_site_fract_z
_atom_site_occupancy
Si1 Si 0.0000 0.0000 0.0000 1
Sb1 Sb 0.0000 0.0000 0.5000 1
Pb1 Pb 0.5000 0.5000 0.5000 1
I1 I 0.0000 0.5000 0.0000 1
# Relative energy among the computed polymorphs (kJ/mol of atoms): 0.00
# Raw formation energy (meV/atom): 288

Record 21
# PBE SmGaCu11, optimized geometry
data_SmGaCu11
_symmetry_space_group_name_H-M 'C 1 2/m 1'
_symmetry_Int_Tables_number 12
_symmetry_space_group_name_Hall '-C 2y'
_cell_length_a 4.8601
_cell_length_b 11.9897
_cell_length_c 6.5754
_cell_angle_alpha 90.00
_cell_angle_beta 110.97
_cell_angle_gamma 90.00
loop_
_atom_site_label
_atom_site_type_symbol
_atom_site_fract_x
_atom_site_fract_y
_atom_site_fract_z
_atom_site_occupancy
Sm1 Sm 0.0000 0.0000 0.0000 1
Ga1 Ga 0.0000 0.5000 0.5000 1
Cu1 Cu 0.0000 0.0000 0.5000 1
Cu2 Cu 0.1082 0.3873 0.2221 1
Cu3 Cu 0.1641 0.1800 0.3522 1
Cu4 Cu 0.2500 0.2500 0.0000 1
# E_form (meV per atom): -116

Record 22
# PBE NbCrRhC2, optimized geometry
data_NbCrRhC2
_symmetry_space_group_name_H-M 'P 4/m m m'
_symmetry_Int_Tables_number 123
_symmetry_space_group_name_Hall '-P 4 2'
_cell_length_a 3.8612
_cell_length_b 3.8612
_cell_length_c 5.3503
_cell_angle_alpha 90.00
_cell_angle_beta 90.00
_cell_angle_gamma 90.00
loop_
_atom_site_label
_atom_site_type_symbol
_atom_site_fract_x
_atom_site_fract_y
_atom_site_fract_z
_atom_site_occupancy
Nb1 Nb 0.0000 0.0000 0.0000 1
Cr1 Cr 0.5000 0.5000 0.0000 1
Rh1 Rh 0.0000 0.0000 0.5000 1
C1 C 0.0000 0.5000 0.5000 1
# E_form (meV per atom): 1900

Record 23
# PBE TlAgS2, optimized geometry
data_TlAgS2
_symmetry_space_group_name_H-M 'C 1 2/c 1'
_symmetry_Int_Tables_number 15
_symmetry_space_group_name_Hall '-C 2yc'
_cell_length_a 8.9293
_cell_length_b 9.3305
_cell_length_c 5.2517
_cell_angle_alpha 90.00
_cell_angle_beta 110.21
_cell_angle_gamma 90.00
loop_
_atom_site_label
_atom_site_type_symbol
_atom_site_fract_x
_atom_site_fract_y
_atom_site_fract_z
_atom_site_occupancy
Tl1 Tl 0.0000 0.1511 0.2500 1
Ag1 Ag 0.0000 0.4353 0.7500 1
S1 S 0.2456 0.3518 0.0903 1
# Raw formation energy (meV/atom): -94